Crystalline Ba3Np2CrO9 at its relaxed geometry, computed with GGA+U.

a = 6.027 Å, b = 6.027 Å, c = 7.433 Å
α = 90.00°, β = 90.00°, γ = 120.00°
Fractional coordinates of all 15 atoms:
1 Ba 0.000 0.000 0.000
2 Ba 0.333 0.667 0.658
3 Ba 0.667 0.333 0.342
4 Np 0.333 0.667 0.179
5 Np 0.667 0.333 0.821
6 Cr 0.000 0.000 0.500
7 O 0.000 0.500 0.000
8 O 0.161 0.322 0.340
9 O 0.161 0.839 0.340
10 O 0.322 0.161 0.660
11 O 0.500 0.000 0.000
12 O 0.500 0.500 0.000
13 O 0.678 0.839 0.340
14 O 0.839 0.161 0.660
15 O 0.839 0.678 0.660

Computed properties:
The total energy is -125.9 eV per cell. The density of states at the Fermi level comes out at 11.3 states/eV/f.u. The total moment comes out at 0.533 μB/atom.